Ce5Hg2Ir2: relaxed, PBE.

Space group   No. 46
Volume   486.0 Å³ per cell
Excess energy over the best structure of this formula in the dataset   164 meV per atom

Cell and atoms, written as CIF:
```
data_Ce5Hg2Ir2
_chemical_formula_sum 'Ce10 Hg4 Ir4'
_symmetry_space_group_name_H-M 'P 1'
_symmetry_Int_Tables_number 1
_symmetry_space_group_name_Hall 'P 1'
_cell_length_a 8.4185
_cell_length_b 7.0474
_cell_length_c 9.8603
_cell_angle_alpha 110.94
_cell_angle_beta 115.27
_cell_angle_gamma 90.00
loop_
_atom_site_label
_atom_site_type_symbol
_atom_site_fract_x
_atom_site_fract_y
_atom_site_fract_z
_atom_site_occupancy
Ce1 Ce 0.2417 0.6409 0.9099 1
Ce2 Ce 0.7583 0.7310 0.0901 1
Ce3 Ce 0.1682 0.1409 0.9099 1
Ce4 Ce 0.8318 0.2310 0.0901 1
Ce5 Ce 0.2709 0.0819 0.3197 1
Ce6 Ce 0.7291 0.7622 0.6803 1
Ce7 Ce 0.5488 0.5819 0.3197 1
Ce8 Ce 0.4512 0.2622 0.6803 1
Ce9 Ce 0.0436 0.7726 0.5000 1
Ce10 Ce 0.9564 0.2726 0.5000 1
Hg1 Hg 0.1433 0.5852 0.1953 1
Hg2 Hg 0.8567 0.3899 0.8047 1
Hg3 Hg 0.5520 0.0852 0.1953 1
Hg4 Hg 0.4480 0.8899 0.8047 1
Ir1 Ir 0.0000 0.8947 0.0000 1
Ir2 Ir 0.5000 0.3947 0.0000 1
Ir3 Ir 0.2451 0.4775 0.5000 1
Ir4 Ir 0.7549 0.9775 0.5000 1
```